No. 1
A plane-wave DFT calculation with PBE was carried out for crystalline CsSiOs at its relaxed geometry.

Computed properties:
- relative energy among the computed polymorphs (eV per atom) = 0.000
- total DFT energy (no corrections) (Ry/atom) = -0.42948
- V (A^3/atom) = 35.63
- symmetry = P4/nmm, No. 129

a b c (Å): 4.3042 4.3042 11.5390
angles (deg): 90.00 90.00 90.00
Closest atoms and distances in Å follow each position.
Fractional positions:
Cs1 0.2500 0.2500 0.2244  5 Si 3.75-4.16, 4 Os 3.84
Cs2 0.7500 0.7500 0.7756  5 Si 3.75-4.16, 4 Os 3.84
Si1 0.2500 0.2500 0.5851  4 Os 2.37
Si2 0.7500 0.7500 0.4149  4 Os 2.37
Os1 0.2500 0.7500 0.5000  4 Si 2.37
Os2 0.7500 0.2500 0.5000  4 Si 2.37


No. 2
A plane-wave DFT calculation with PBE was carried out for crystalline CsSiOs at its relaxed geometry.

Computed properties:
- relative energy among the computed polymorphs (eV per atom) = 0.463
- total DFT energy (no corrections) (Ry/atom) = -0.39541
- V (A^3/atom) = 25.27
- symmetry = P2_1/m, No. 11

a b c (Å): 3.1569 6.4305 7.6315
angles (deg): 90.00 101.88 90.00
Closest atoms and distances in Å follow each position.
Fractional positions:
Cs1 0.1979 0.2500 0.3933  2 Cs 3.16
Cs2 0.8021 0.7500 0.6067  2 Cs 3.16
Si1 0.5000 0.0000 0.0000  4 Os 2.42
Si2 0.5000 0.5000 0.0000  4 Os 2.42
Os1 0.0594 0.7500 0.1188  4 Si 2.42
Os2 0.9406 0.2500 0.8812  4 Si 2.42


No. 3
A plane-wave DFT calculation with PBE was carried out for crystalline CsSiOs at its relaxed geometry.

Computed properties:
- relative energy among the computed polymorphs (eV per atom) = 0.077
- total DFT energy (no corrections) (Ry/atom) = -0.42378
- V (A^3/atom) = 39.54
- symmetry = P-1, No. 2

a b c (Å): 4.6668 4.6670 11.3547
angles (deg): 87.28 89.88 73.85
Closest atoms and distances in Å follow each position.
Fractional positions:
Cs1 0.2232 0.2514 0.2714  2 Si 3.50-3.84, 2 Os 3.71
Cs2 0.7768 0.7486 0.7286  2 Si 3.50-3.84, 2 Os 3.71
Si1 0.2948 0.2085 0.9652  4 Os 2.37-2.40, 1 Si 2.42
Si2 0.7052 0.7915 0.0348  4 Os 2.37-2.40, 1 Si 2.42
Os1 0.2267 0.7267 0.0000  4 Si 2.37-2.40
Os2 0.7733 0.2733 0.0000  4 Si 2.37-2.40


No. 4
A plane-wave DFT calculation with PBE was carried out for crystalline CsSiOs at its relaxed geometry.

Computed properties:
- relative energy among the computed polymorphs (eV per atom) = 0.442
- total DFT energy (no corrections) (Ry/atom) = -0.39696
- V (A^3/atom) = 28.78
- symmetry = P-6m2, No. 187

a b c (Å): 4.0122 4.0122 6.1929
angles (deg): 90.00 90.00 120.00
Closest atoms and distances in Å follow each position.
Fractional positions:
Cs1 0.0000 0.0000 0.0000  6 Os 3.87, 6 Si 3.87, 6 Cs 4.01
Si1 0.6667 0.3333 0.5000  3 Os 2.32
Os1 0.3333 0.6667 0.5000  3 Si 2.32


No. 5
A plane-wave DFT calculation with PBE was carried out for crystalline CsSiOs at its relaxed geometry.

Computed properties:
- relative energy among the computed polymorphs (eV per atom) = 0.401
- total DFT energy (no corrections) (Ry/atom) = -0.39999
- V (A^3/atom) = 26.68
- symmetry = P1, No. 1

a b c (Å): 3.3456 7.4819 7.5739
angles (deg): 119.25 90.39 102.52
Closest atoms and distances in Å follow each position.
Fractional positions:
Cs1 0.0000 0.0000 0.0000  2 Cs 3.35, 3 Si 3.60-3.62, 2 Os 3.72-3.73
Cs2 0.2249 0.4766 0.5394  2 Cs 3.35, 3 Os 3.61-3.64, 2 Si 3.63-3.64
Si1 0.6911 0.3889 0.9161  3 Os 2.37-2.43
Si2 0.9249 0.8561 0.3903  4 Os 2.29-2.41
Os1 0.3107 0.6265 0.1524  4 Si 2.41-2.43
Os2 0.5310 0.0684 0.5977  3 Si 2.29-2.37


No. 6
A plane-wave DFT calculation with PBE was carried out for crystalline CsSiOs at its relaxed geometry.

Computed properties:
- relative energy among the computed polymorphs (eV per atom) = 0.511
- total DFT energy (no corrections) (Ry/atom) = -0.39195
- V (A^3/atom) = 24.09
- symmetry = I4mm, No. 107

a b c (Å): 7.1265 7.1265 7.1265
angles (deg): 153.44 153.44 37.92
Closest atoms and distances in Å follow each position.
Fractional positions:
Cs1 0.0000 0.0000 0.0000  4 Cs 3.27
Si1 0.2774 0.2774 0.0000  4 Os 2.43
Os1 0.7233 0.7233 0.0000  4 Si 2.43


No. 7
A plane-wave DFT calculation with PBE was carried out for crystalline CsSiOs at its relaxed geometry.

Computed properties:
- relative energy among the computed polymorphs (eV per atom) = 0.161
- total DFT energy (no corrections) (Ry/atom) = -0.41766
- V (A^3/atom) = 40.46
- symmetry = P2_1/m, No. 11

a b c (Å): 3.9897 5.3482 11.3870
angles (deg): 90.00 92.48 90.00
Closest atoms and distances in Å follow each position.
Fractional positions:
Cs1 0.2348 0.2500 0.2765  1 Si 3.43, 2 Os 3.62
Cs2 0.7652 0.7500 0.7235  1 Si 3.43, 2 Os 3.62
Si1 0.0030 0.7500 0.0170  4 Os 2.41
Si2 0.9970 0.2500 0.9830  4 Os 2.41
Os1 0.5000 0.0000 0.0000  4 Si 2.41, 2 Os 2.67
Os2 0.5000 0.5000 0.0000  4 Si 2.41, 2 Os 2.67


No. 8
A plane-wave DFT calculation with PBE was carried out for crystalline CsSiOs at its relaxed geometry.

Computed properties:
- relative energy among the computed polymorphs (eV per atom) = 0.411
- total DFT energy (no corrections) (Ry/atom) = -0.39925
- V (A^3/atom) = 26.74
- symmetry = Pm, No. 6

a b c (Å): 3.3268 6.4712 7.6283
angles (deg): 90.00 102.37 90.00
Closest atoms and distances in Å follow each position.
Fractional positions:
Cs1 0.0000 0.0000 0.0000  2 Cs 3.33
Cs2 0.2921 0.0000 0.5100  2 Cs 3.33, 2 Si 3.42, 2 Os 3.65
Si1 0.1824 0.5000 0.3636  4 Os 2.28-2.42
Si2 0.4163 0.5000 0.8377  3 Os 2.36-2.44
Os1 0.5788 0.5000 0.1544  3 Si 2.28-2.36
Os2 0.8010 0.5000 0.5989  4 Si 2.41-2.44


No. 9
A plane-wave DFT calculation with PBE was carried out for crystalline CsSiOs at its relaxed geometry.

Computed properties:
- relative energy among the computed polymorphs (eV per atom) = 0.492
- total DFT energy (no corrections) (Ry/atom) = -0.39329
- V (A^3/atom) = 32.17
- symmetry = C2/m, No. 12

a b c (Å): 6.0059 6.0059 6.7141
angles (deg): 115.58 115.58 69.50
Closest atoms and distances in Å follow each position.
Fractional positions:
Cs1 0.1488 0.1488 0.3977  6 Si 3.72-4.00, 5 Os 3.82-4.17, 3 Cs 3.84
Cs2 0.8512 0.8512 0.6023  6 Si 3.72-4.00, 5 Os 3.82-4.17, 3 Cs 3.84
Si1 0.0000 0.5000 0.0000  2 Os 2.25
Si2 0.5000 0.0000 0.0000  2 Os 2.25
Os1 0.4196 0.4196 0.0871  2 Si 2.25, 1 Os 2.42
Os2 0.5804 0.5804 0.9129  2 Si 2.25, 1 Os 2.42


No. 10
A plane-wave DFT calculation with PBE was carried out for crystalline Cs2SiOs at its relaxed geometry.

Computed properties:
- relative energy among the computed polymorphs (eV per atom) = 0.000
- total DFT energy (no corrections) (Ry/atom) = -0.28672
- V (A^3/atom) = 49.63
- symmetry = I-42d, No. 122

a b c (Å): 9.5842 9.5842 9.5842
angles (deg): 93.28 93.28 152.32
Closest atoms and distances in Å follow each position.
Fractional positions:
Cs1 0.3750 0.0628 0.1878  2 Os 3.44, 2 Si 3.80
Cs2 0.8128 0.6250 0.6878  2 Os 3.44, 2 Si 3.80
Cs3 0.8750 0.1872 0.8122  2 Os 3.44, 2 Si 3.80
Cs4 0.9372 0.1250 0.3122  2 Os 3.44, 2 Si 3.80
Si1 0.2500 0.7500 0.5000  2 Os 2.29
Si2 0.5000 0.5000 0.0000  2 Os 2.29
Os1 0.0000 0.0000 0.0000  2 Si 2.29
Os2 0.7500 0.2500 0.5000  2 Si 2.29


No. 11
A plane-wave DFT calculation with PBE was carried out for crystalline CsSiOs at its relaxed geometry.

Computed properties:
- relative energy among the computed polymorphs (eV per atom) = 0.469
- total DFT energy (no corrections) (Ry/atom) = -0.39504
- V (A^3/atom) = 25.79
- symmetry = P1, No. 1

a b c (Å): 3.0357 3.8063 6.6987
angles (deg): 88.51 89.76 89.94
Closest atoms and distances in Å follow each position.
Fractional positions:
Cs1 0.0000 0.0000 0.0000  2 Cs 3.04
Si1 0.9509 0.8072 0.5006  4 Os 2.42-2.45
Os1 0.4557 0.3097 0.4983  4 Si 2.42-2.45


No. 12
A plane-wave DFT calculation with PBE was carried out for crystalline CsSiOs at its relaxed geometry.

Computed properties:
- relative energy among the computed polymorphs (eV per atom) = 0.158
- total DFT energy (no corrections) (Ry/atom) = -0.41789
- V (A^3/atom) = 40.44
- symmetry = P1, No. 1

a b c (Å): 4.0045 5.3174 11.4322
angles (deg): 89.93 85.32 90.00
Closest atoms and distances in Å follow each position.
Fractional positions:
Cs1 0.0000 0.0000 0.0000  1 Os 3.43, 2 Si 3.64-3.67
Cs2 0.3284 0.5000 0.4391  1 Os 3.37
Si1 0.7823 0.7399 0.7193  4 Os 2.40-2.41, 2 Si 2.65-2.66
Si2 0.7826 0.2409 0.7178  4 Os 2.40-2.41, 2 Si 2.65-2.66
Os1 0.2785 0.4902 0.7344  4 Si 2.41, 2 Os 2.67-2.68
Os2 0.2861 0.9903 0.7087  4 Si 2.40-2.41, 2 Os 2.67-2.68


No. 13
A plane-wave DFT calculation with PBE was carried out for crystalline CsSiOs3 at its relaxed geometry.

Computed properties:
- relative energy among the computed polymorphs (eV per atom) = 2.367
- total DFT energy (no corrections) (Ry/atom) = -0.28321
- V (A^3/atom) = 24.56
- symmetry = Pm-3m, No. 221

a b c (Å): 4.9703 4.9703 4.9703
angles (deg): 90.00 90.00 90.00
Closest atoms and distances in Å follow each position.
Fractional positions:
Cs1 0.0000 0.0000 0.0000  6 Os 2.49
Si1 0.5000 0.5000 0.5000  12 Os 3.51
Os1 0.0000 0.0000 0.5000  2 Cs 2.49
Os2 0.0000 0.5000 0.0000  2 Cs 2.49
Os3 0.5000 0.0000 0.0000  2 Cs 2.49


No. 14
A plane-wave DFT calculation with PBE was carried out for crystalline Cs2SiOs at its relaxed geometry.

Computed properties:
- relative energy among the computed polymorphs (eV per atom) = 1.228
- total DFT energy (no corrections) (Ry/atom) = -0.19645
- V (A^3/atom) = 34.88
- symmetry = Fm-3m, No. 225

a b c (Å): 5.8215 5.8215 5.8215
angles (deg): 60.00 60.00 60.00
Closest atoms and distances in Å follow each position.
Fractional positions:
Cs1 0.2500 0.2500 0.2500  4 Os 3.56, 4 Si 3.56
Cs2 0.7500 0.7500 0.7500  4 Os 3.56, 4 Si 3.56
Si1 0.0000 0.0000 0.0000  8 Cs 3.56
Os1 0.5000 0.5000 0.5000  8 Cs 3.56


No. 15
A plane-wave DFT calculation with PBE was carried out for crystalline CsSiOs3 at its relaxed geometry.

Computed properties:
- relative energy among the computed polymorphs (eV per atom) = 0.000
- total DFT energy (no corrections) (Ry/atom) = -0.45715
- V (A^3/atom) = 20.18
- symmetry = Pm-3m, No. 221

a b c (Å): 4.6557 4.6557 4.6557
angles (deg): 90.00 90.00 90.00
Closest atoms and distances in Å follow each position.
Fractional positions:
Cs1 0.0000 0.0000 0.0000  12 Os 3.29
Si1 0.5000 0.5000 0.5000  6 Os 2.33
Os1 0.0000 0.5000 0.5000  2 Si 2.33
Os2 0.5000 0.0000 0.5000  2 Si 2.33
Os3 0.5000 0.5000 0.0000  2 Si 2.33


No. 16
A plane-wave DFT calculation with PBE was carried out for crystalline CsZnSiOs2 at its relaxed geometry.

Computed properties:
- total DFT energy (no corrections) (Ry/atom) = -0.33388
- V (A^3/atom) = 26.98
- symmetry = P4/mmm, No. 123

a b c (Å): 4.5718 4.5718 6.4550
angles (deg): 90.00 90.00 90.00
Closest atoms and distances in Å follow each position.
Fractional positions:
Cs1 0.0000 0.0000 0.0000  2 Si 3.23, 4 Zn 3.23
Zn1 0.5000 0.5000 0.0000  4 Cs 3.23
Si1 0.0000 0.0000 0.5000  4 Os 2.29
Os1 0.0000 0.5000 0.5000  2 Si 2.29
Os2 0.5000 0.0000 0.5000  2 Si 2.29


No. 17
A plane-wave DFT calculation with PBE was carried out for crystalline CsSn3Os at its relaxed geometry.

Computed properties:
- calculated formation energy (eV/f.u.) = 1.48
- relative energy among the computed polymorphs (eV per atom) = 0.000
- total DFT energy (no corrections) (Ry/atom) = -0.33245
- V (A^3/atom) = 29.87
- symmetry = Pm-3m, No. 221

a b c (Å): 5.3055 5.3055 5.3055
angles (deg): 90.00 90.00 90.00
Closest atoms and distances in Å follow each position.
Fractional positions:
Cs1 0.0000 0.0000 0.0000  12 Sn 3.75
Sn1 0.0000 0.5000 0.5000  2 Os 2.65
Sn2 0.5000 0.0000 0.5000  2 Os 2.65
Sn3 0.5000 0.5000 0.0000  2 Os 2.65
Os1 0.5000 0.5000 0.5000  6 Sn 2.65


No. 18
A plane-wave DFT calculation with PBE was carried out for crystalline CsSn3Os at its relaxed geometry.

Computed properties:
- calculated formation energy (eV/f.u.) = 13.19
- relative energy among the computed polymorphs (eV per atom) = 2.343
- total DFT energy (no corrections) (Ry/atom) = -0.16022
- V (A^3/atom) = 43.11
- symmetry = Pm-3m, No. 221

a b c (Å): 5.9959 5.9959 5.9959
angles (deg): 90.00 90.00 90.00
Closest atoms and distances in Å follow each position.
Fractional positions:
Cs1 0.0000 0.0000 0.0000  6 Sn 3.00
Sn1 0.0000 0.0000 0.5000  2 Cs 3.00
Sn2 0.0000 0.5000 0.0000  2 Cs 3.00
Sn3 0.5000 0.0000 0.0000  2 Cs 3.00
Os1 0.5000 0.5000 0.5000  12 Sn 4.24


No. 19
A plane-wave DFT calculation with PBE was carried out for crystalline CsTa2SnOs at its relaxed geometry.

Computed properties:
- calculated formation energy (eV/f.u.) = 15.90
- total DFT energy (no corrections) (Ry/atom) = -0.35115
- V (A^3/atom) = 25.49
- symmetry = P4/mmm, No. 123

a b c (Å): 5.0974 5.0974 4.9057
angles (deg): 90.00 90.00 90.00
Closest atoms and distances in Å follow each position.
Fractional positions:
Cs1 0.0000 0.0000 0.0000  2 Os 2.45, 4 Ta 2.55
Ta1 0.0000 0.5000 0.0000  2 Cs 2.55
Ta2 0.5000 0.0000 0.0000  2 Cs 2.55
Sn1 0.5000 0.5000 0.5000  8 Ta 3.54, 4 Os 3.60
Os1 0.0000 0.0000 0.5000  2 Cs 2.45


No. 20
A plane-wave DFT calculation with PBE was carried out for crystalline CsSrOs2 at its relaxed geometry.

Computed properties:
- calculated formation energy (eV/f.u.) = 8.73
- total DFT energy (no corrections) (Ry/atom) = -0.29884
- V (A^3/atom) = 25.28
- symmetry = Fm-3m, No. 225

a b c (Å): 5.2293 5.2293 5.2293
angles (deg): 60.00 60.00 60.00
Closest atoms and distances in Å follow each position.
Fractional positions:
Cs1 0.0000 0.0000 0.0000  8 Os 3.20
Sr1 0.5000 0.5000 0.5000  8 Os 3.20
Os1 0.2500 0.2500 0.2500  4 Sr 3.20, 4 Cs 3.20
Os2 0.7500 0.7500 0.7500  4 Sr 3.20, 4 Cs 3.20